Record 1
Entry from the Alexandria database: a geometry-optimized Sm6Er5Mg structure (GGA-PBE).

The space group is No. 12. The size of the total moment is 0.00 Bohr magnetons per cell. For the energy, the calculation gives -4.37 eV per atom. As for the energy of formation: 22.1 meV per atom. As for the volume: 31.54 Å³ per atom.

Unit cell a=7.9238 b=7.9238 c=6.1545 alpha=97.69 beta=97.69 gamma=84.75
With the nearest neighbours (Å) after each atom.
Fractional positions:
Sm 0.0852 0.4188 0.7467  6 Sm 3.51-3.60, 5 Er 3.51-3.58, 1 Mg 3.52
Sm 0.2484 0.2484 0.2499  5 Er 3.51-3.54, 6 Sm 3.53-3.58, 1 Mg 3.56
Sm 0.4188 0.0852 0.7467  6 Sm 3.51-3.60, 5 Er 3.51-3.58, 1 Mg 3.52
Sm 0.5812 0.9148 0.2533  6 Sm 3.51-3.60, 5 Er 3.51-3.58, 1 Mg 3.52
Sm 0.7516 0.7516 0.7501  5 Er 3.51-3.54, 6 Sm 3.53-3.58, 1 Mg 3.56
Sm 0.9148 0.5812 0.2533  6 Sm 3.51-3.60, 5 Er 3.51-3.58, 1 Mg 3.52
Er 0.0000 0.0000 0.5000  6 Sm 3.53-3.54, 6 Er 3.55-3.57
Er 0.1658 0.8342 0.0000  6 Sm 3.51-3.58, 5 Er 3.54-3.56, 1 Mg 3.57
Er 0.3341 0.6659 0.5000  6 Sm 3.51-3.55, 4 Er 3.54-3.57, 2 Mg 3.55
Er 0.6659 0.3341 0.5000  6 Sm 3.51-3.55, 4 Er 3.54-3.57, 2 Mg 3.55
Er 0.8342 0.1658 0.0000  6 Sm 3.51-3.58, 5 Er 3.54-3.56, 1 Mg 3.57
Mg 0.5000 0.5000 0.0000  6 Sm 3.52-3.56, 6 Er 3.55-3.57

Record 2
Entry from the Alexandria database: a geometry-optimized MnCoBi3 structure (GGA-PBE).

The space group is No. 221. The size of the total moment is 2.08 Bohr magnetons per cell. For the energy, the calculation gives -4.60 eV per atom. As for the energy of formation: 986.7 meV per atom. As for the volume: 26.33 Å³ per atom.

Unit cell a=5.0870 b=5.0870 c=5.0870 alpha=90.00 beta=90.00 gamma=90.00
With the nearest neighbours (Å) after each atom.
Fractional positions:
Mn 0.0000 0.0000 0.0000  6 Bi 2.54
Co 0.5000 0.5000 0.5000  12 Bi 3.60
Bi 0.0000 0.0000 0.5000  2 Mn 2.54
Bi 0.0000 0.5000 0.0000  2 Mn 2.54
Bi 0.5000 0.0000 0.0000  2 Mn 2.54

Record 3
Entry from the Alexandria database: a geometry-optimized K2RbNaTl structure (GGA-PBE).

The space group is No. 123. The size of the total moment is 0.00 Bohr magnetons per cell. The calculation puts the energy above the most stable polymorph in this dataset at 0 meV per atom. For the energy, the calculation gives -1.34 eV per atom. As for the energy of formation: 29.7 meV per atom. As for the volume: 60.13 Å³ per atom.

Unit cell a=6.9396 b=6.9396 c=6.2429 alpha=90.00 beta=90.00 gamma=90.00
With the nearest neighbours (Å) after each atom.
Fractional positions:
K 0.0000 0.5000 0.0000  2 Tl 3.47
K 0.5000 0.0000 0.0000  2 Tl 3.47
Rb 0.0000 0.0000 0.5000  8 K 4.67, 4 Na 4.91
Na 0.5000 0.5000 0.5000  2 Tl 3.12
Tl 0.5000 0.5000 0.0000  2 Na 3.12, 4 K 3.47